A geometry-optimized Ti4AgSe8 structure. Source: Alexandria via LeMat-Bulk, functional PBE-GGA.

Geometry as POSCAR:
```
Ti4AgSe8
1.0
3.5511 2.0502 7.1001
-3.5511 2.0502 7.1001
0.0000 -4.1005 7.1001
Ti Ag Se
4 1 8
Direct
0.0000 0.0000 0.0000
0.0000 0.5000 0.5000
0.5000 0.0000 0.5000
0.5000 0.5000 0.0000
0.5000 0.5000 0.5000
0.2398 0.2398 0.7400
0.2398 0.7400 0.2398
0.2600 0.7602 0.7602
0.2606 0.2606 0.2606
0.7394 0.7394 0.7394
0.7400 0.2398 0.2398
0.7602 0.2600 0.7602
0.7602 0.7602 0.2600
```

Properties
Offset from the most stable computed form = 0 meV/atom
E_form (uncorrected) = -0.9968 eV/atom
Magnetization = 0.00 μB per cell
VASP energy = -0.426 Ry/atom